A relaxed structure of TcOsPbS2, computed with GGA-PBE.

Unit cell a=4.611 b=4.611 c=4.985 alpha=90.00 beta=90.00 gamma=90.00
Sites, in units of the cell vectors:
1 Tc 0.000 0.000 0.000
2 Os 0.000 0.000 0.500
3 Pb 0.500 0.500 0.000
4 S 0.000 0.500 0.500
5 S 0.500 0.000 0.500

## Properties
ΔE_f (raw) = 0.790 eV per atom
calculated total energy = -29.61 eV for the cell shown
space-group type = P4/mmm, No. 123
M_tot = 0.3268 μB/atom